Here is a relaxed LiGdTmBe crystal from Alexandria via LeMat-Bulk. Energies are from PBE.

POSCAR file:
```
LiGdTmBe
1.0
-4.707 -1.434 -0.700
-2.889 -1.037 3.908
-3.733 3.050 1.210
Gd Be Tm Li
1 1 1 1
Direct
0.750 0.750 0.750
0.500 0.500 0.500
0.250 0.250 0.250
0.000 0.000 0.000
```

Calculated values
energy of formation from the pure elements	0.13	eV per atom
total DFT energy (no corrections)	-5.92	eV/atom